The following is a DFT calculation (PBE-GGA) of a relaxed LiAcCuNi crystal.

The structure belongs to space group F-43m (No. 216); the cell edges are 6.977, 6.977 and 6.977 Å and the angles 90.00°, 90.00° and 90.00°. The distinct sites, in fractional coordinates, are Li at (0.000, 0.000, 0.000), Ac at (0.000, 0.000, 0.500), Cu at (0.250, 0.250, 0.750) and Ni at (0.250, 0.250, 0.250).

The total magnetization is 0.0000 μB/atom. The density of states at the Fermi level comes out at 13.024 states/eV/cell. The volume is 339.6 Å³ per cell. The total DFT energy (no corrections) is -62.34 eV for the cell shown.

The following is a DFT calculation (PBE-GGA) of a relaxed Cd2MoCl crystal.

The structure belongs to space group Fm-3m (No. 225); the cell edges are 7.201, 7.201 and 7.201 Å and the angles 90.00°, 90.00° and 90.00°. The distinct sites, in fractional coordinates, are Cd at (0.250, 0.250, 0.250), Mo at (0.000, 0.000, 0.000) and Cl at (0.000, 0.000, 0.500).

The formation energy from raw total energies is 18.1 kcal/mol of atoms. The calculation puts the energy above the most stable polymorph in this dataset at 652 meV/atom. The total magnetization is 1.0827 μB/atom. The density of states at the Fermi level comes out at 7.198 states/eV/cell. The volume is 373.5 Å³ per cell. The total DFT energy (no corrections) is -45.47 eV for the cell shown.